(1)
The following is a DFT calculation (PBE) of a geometry-optimized Cs2ZrTa3O12 structure.

Cell: 7.642 7.642 7.642 Å, 59.51 59.51 59.51°
Last column: magnetic moment on the atom in μB.
Sites, in units of the cell vectors:
Cs1 0.622 0.622 0.622  0.00
Cs2 0.378 0.378 0.378  0.00
Zr1 0.000 0.000 0.000  -0.04
Ta1 0.500 0.000 0.000  -0.07
Ta2 0.000 0.500 0.000  -0.07
Ta3 0.000 0.000 0.500  -0.07
O1 0.307 0.307 0.935  0.21
O2 0.932 0.932 0.328  0.26
O3 0.328 0.932 0.932  0.26
O4 0.935 0.307 0.307  0.21
O5 0.932 0.328 0.932  0.26
O6 0.307 0.935 0.307  0.21
O7 0.693 0.693 0.065  0.21
O8 0.068 0.068 0.672  0.26
O9 0.672 0.068 0.068  0.26
O10 0.065 0.693 0.693  0.21
O11 0.068 0.672 0.068  0.26
O12 0.693 0.065 0.693  0.21

Computed properties:
* space group: No. 166
* E_form (uncorrected): -2.44 eV per atom

(2)
The following is a DFT calculation (PBE) of a geometry-optimized CsZrTa2O8 structure.

Cell: 6.034 6.034 8.347 Å, 90.00 90.00 120.00°
Last column: magnetic moment on the atom in μB.
Sites, in units of the cell vectors:
Cs1 0.000 0.000 0.000  0.00
Zr1 0.000 0.000 0.500  -0.02
Ta1 0.667 0.333 0.282  -0.04
Ta2 0.333 0.667 0.718  -0.04
O1 0.333 0.667 0.938  0.25
O2 0.325 0.164 0.351  0.08
O3 0.836 0.161 0.351  0.08
O4 0.667 0.333 0.062  0.25
O5 0.164 0.839 0.649  0.08
O6 0.675 0.836 0.649  0.08
O7 0.161 0.325 0.649  0.08
O8 0.839 0.675 0.351  0.08

Computed properties:
* space group: No. 147
* E_form (uncorrected): -2.60 eV per atom

(3)
The following is a DFT calculation (PBE) of a geometry-optimized Cs2TbO2 structure.

Cell: 6.590 4.904 12.048 Å, 101.79 105.87 90.00°
Sites, in units of the cell vectors:
Cs1 0.142 0.942 0.285
Cs2 0.858 0.058 0.715
Cs3 0.358 0.658 0.716
Cs4 0.642 0.342 0.284
Tb1 0.250 0.500 0.000
Tb2 0.750 0.500 0.000
O1 0.554 0.724 0.108
O2 0.446 0.276 0.892
O3 0.946 0.616 0.892
O4 0.054 0.384 0.108

Computed properties:
* space group: No. 12
* E_form (uncorrected): -1.82 eV per atom

The records above yield size of the total moment values of 3.09, 1.08, 0.00 μB per formula unit, respectively.